The following is a DFT calculation (GGA-PBE) of crystalline LaTmIn4 at its relaxed geometry.

Lattice parameters (Å, degrees): 6.073 6.073 6.073 60.00 60.00 60.00
Fractional positions:
Tm 0.000 0.000 0.000
In 0.625 0.625 0.125
In 0.625 0.625 0.625
In 0.625 0.125 0.625
In 0.125 0.625 0.625
La 0.250 0.250 0.250

Summary:
ΔE_f   -0.35 eV per atom
Energy relative to the lowest polymorph listed for this composition   0 meV/atom
Fermi-level density of states   4.908 states/eV/f.u.
Mass density   8.04 g/cm³